Compound: LiCo2PbO
Source: Alexandria
Functional: PBE+U
Structure: relaxed

Computed properties:
**DOS at the Fermi energy**: 3.12 states/eV/f.u.
**SG**: P4/mmm (123)
**Energy**: -3.2899 eV/atom
**V**: 122.6 Å³ per cell
**Theoretical density**: 4.7 g/cm3

Lattice parameters (Å, degrees): 5.1938 5.1938 4.5438 90.00 90.00 90.00
Closest atoms and distances in Å follow each position.
Atoms (fractional coordinates):
Li 0.0000 0.0000 0.0000  8 Co 3.45, 4 O 3.67
Co 0.0000 0.5000 0.5000  2 Pb 2.60
Co 0.5000 0.0000 0.5000  2 Pb 2.60
Pb 0.5000 0.5000 0.5000  2 O 2.27
O 0.5000 0.5000 0.0000  2 Pb 2.27